# Lu2ZrAl PBE optimized geometry
# DOS at the Fermi energy ... 0.811 states/eV per atom
# Total energy ... -5.521 eV per atom
data_Lu2ZrAl
_space_group_name_H-M_alt 'P 4/m m m'
_space_group_IT_number 123
_space_group_name_Hall '-P 4 2'
_cell_length_a 3.3799
_cell_length_b 3.3799
_cell_length_c 8.4637
_cell_angle_alpha 90.00
_cell_angle_beta 90.00
_cell_angle_gamma 90.00
loop_
_atom_site_label
_atom_site_type_symbol
_atom_site_fract_x
_atom_site_fract_y
_atom_site_fract_z
Lu1 Lu 0.0000 0.0000 0.2314
Zr1 Zr 0.5000 0.5000 0.5000
Al1 Al 0.5000 0.5000 0.0000



# Ac5Pu3Au12 PBE optimized geometry
# DOS at the Fermi energy ... 2.594 states/eV per atom
# Total energy ... -5.494 eV per atom
data_Ac5Pu3Au12
_space_group_name_H-M_alt 'I a -3 d'
_space_group_IT_number 230
_space_group_name_Hall '-I 4bd 2c 3'
_cell_length_a 17.5719
_cell_length_b 17.5719
_cell_length_c 17.5719
_cell_angle_alpha 90.00
_cell_angle_beta 90.00
_cell_angle_gamma 90.00
loop_
_atom_site_label
_atom_site_type_symbol
_atom_site_fract_x
_atom_site_fract_y
_atom_site_fract_z
Ac1 Ac 0.0000 0.0000 0.0000
Ac2 Ac 0.0000 0.2500 0.3750
Pu1 Pu 0.0000 0.2500 0.1250
Au1 Au 0.0000 0.0792 0.1576



# DyTm2Pb PBE optimized geometry
# DOS at the Fermi energy ... 1.294 states/eV per atom
# Total energy ... -4.566 eV per atom
data_DyTm2Pb
_space_group_name_H-M_alt 'P 4/m m m'
_space_group_IT_number 123
_space_group_name_Hall '-P 4 2'
_cell_length_a 4.8250
_cell_length_b 4.8250
_cell_length_c 4.8044
_cell_angle_alpha 90.00
_cell_angle_beta 90.00
_cell_angle_gamma 90.00
loop_
_atom_site_label
_atom_site_type_symbol
_atom_site_fract_x
_atom_site_fract_y
_atom_site_fract_z
Dy1 Dy 0.0000 0.0000 0.0000
Tm1 Tm 0.0000 0.5000 0.5000
Pb1 Pb 0.5000 0.5000 0.0000



Question: Which value of total energy does entry 3 give?
Answer: -4.566 eV per atom